The following is a PBE calculation of an optimized crystal structure of CaSn2Pd4Pt, from the Alexandria database.

Space-group type: R-3m, No. 166
Calculated total energy: -41.093 eV/cell

Cell lengths 4.5987, 4.5987, 8.3390 Å; angles 73.99, 73.99, 60.00 degrees
Atoms (fractional coordinates):
Pd: 0.8769 0.8769 0.3693
Pd: 0.6159 0.6159 0.1522
Pd: 0.3841 0.3841 0.8478
Pd: 0.1231 0.1231 0.6307
Pt: 0.5000 0.5000 0.5000
Sn: 0.2425 0.2425 0.2725
Sn: 0.7575 0.7575 0.7276
Ca: 0.0000 0.0000 0.0000

The following is a PBE calculation of an optimized crystal structure of Ca2SnPd5Pt2, from the Alexandria database.

Space-group type: P4/mbm, No. 127
Calculated total energy: -103.755 eV/cell

Cell lengths 4.0763, 9.6133, 9.6133 Å; angles 90.00, 90.00, 90.00 degrees
Atoms (fractional coordinates):
Pd: 0.5000 0.8021 0.9329
Pd: 0.5000 0.1979 0.0671
Pd: 0.5000 0.4329 0.3021
Pd: 0.5000 0.3021 0.5671
Pd: 0.5000 0.0000 0.5000
Pd: 0.5000 0.6979 0.4329
Pd: 0.5000 0.9329 0.1979
Pd: 0.5000 0.5000 0.0000
Pd: 0.5000 0.5671 0.6979
Pd: 0.5000 0.0671 0.8021
Pt: 0.0000 0.3719 0.1281
Pt: 0.0000 0.8719 0.3719
Pt: 0.0000 0.6281 0.8719
Pt: 0.0000 0.1281 0.6281
Ca: 0.0000 0.8313 0.6687
Ca: 0.0000 0.3313 0.8313
Ca: 0.0000 0.1687 0.3313
Ca: 0.0000 0.6687 0.1687
Sn: 0.0000 0.0000 0.0000
Sn: 0.0000 0.5000 0.5000

The following is a PBE calculation of an optimized crystal structure of CaTbPdPt, from the Alexandria database.

Space-group type: Amm2, No. 38
Calculated total energy: -21.708 eV/cell

Cell lengths 3.8629, 4.3727, 5.7616 Å; angles 90.00, 109.59, 90.00 degrees
Atoms (fractional coordinates):
Ca: 0.1416 0.0000 0.2831
Tb: 0.8630 0.5000 0.7260
Pd: 0.5810 0.5000 0.1621
Pt: 0.4144 0.0000 0.8288